1.
First-principles (PBE-GGA) data for a geometry-optimized Pu4HgBr8 structure, as listed in Alexandria via LeMat-Bulk.

a b c (Å): 4.2191 10.6620 11.2881
angles (deg): 80.62 79.23 78.59
Each line ends with the local moment (μB).
Atoms (fractional coordinates):
1 Br 0.1854 0.0023 0.6268  0.02
2 Br 0.5526 0.6767 0.2180  0.02
3 Br 0.8068 0.3420 0.0444  0.01
4 Br 0.2246 0.6614 0.8893  -0.01
5 Hg 0.5154 0.0021 0.9672  0.00
6 Pu 0.6622 0.1725 0.5030  -5.71
7 Br 0.1399 0.3418 0.3784  0.04
8 Pu 0.3692 0.8308 0.4307  5.71
9 Br 0.8460 0.0010 0.3070  -0.02
10 Br 0.8917 0.6613 0.5552  -0.04
11 Pu 0.8522 0.4980 0.7976  5.70
12 Br 0.4788 0.3268 0.7156  -0.02
13 Pu 0.1792 0.5054 0.1361  -5.70

## Properties
Crystal system: monoclinic
Space group: Cm, No. 8
E_form (uncorrected), eV/f.u.: -16.41


2.
First-principles (PBE-GGA) data for a geometry-optimized PaCdGe2 structure, as listed in Alexandria via LeMat-Bulk.

a b c (Å): 4.2123 4.2123 10.0564
angles (deg): 102.09 102.09 90.00
Atoms (fractional coordinates):
1 Ge 0.6353 0.6353 0.2706
2 Pa 0.1061 0.1061 0.2123
3 Ge 0.5000 0.0000 0.0000
4 Cd 0.7500 0.2500 0.5000
5 Cd 0.2500 0.7500 0.5000
6 Pa 0.8939 0.8939 0.7877
7 Ge 0.0000 0.5000 0.0000
8 Ge 0.3647 0.3647 0.7294

## Properties
Crystal system: tetragonal
Energy of formation, eV/atom: -0.338
Space group: I4/mmm, No. 139
Distance to the lowest polymorph of the same formula, meV per atom: 0.0


3.
First-principles (PBE-GGA) data for a geometry-optimized MgGa structure, as listed in Alexandria via LeMat-Bulk.

a b c (Å): 7.6880 7.6880 4.9125
angles (deg): 90.00 90.00 120.00
Atoms (fractional coordinates):
1 Ga 0.8953 0.5112 0.7500
2 Mg 0.0709 0.2696 0.7500
3 Mg 0.7304 0.8012 0.7500
4 Ga 0.4888 0.3841 0.7500
5 Ga 0.3841 0.8953 0.2500
6 Mg 0.1988 0.9291 0.7500
7 Ga 0.6159 0.1047 0.7500
8 Ga 0.5112 0.6159 0.2500
9 Ga 0.1047 0.4888 0.2500
10 Mg 0.9291 0.7304 0.2500
11 Mg 0.8012 0.0709 0.2500
12 Mg 0.2696 0.1988 0.2500

## Properties
Crystal system: hexagonal
Energy of formation, eV/atom: -0.045
Space group: P6_3/m, No. 176


4.
First-principles (PBE-GGA) data for a geometry-optimized Mg2CuW structure, as listed in Alexandria via LeMat-Bulk.

a b c (Å): 4.9227 4.9227 4.9227
angles (deg): 131.54 131.54 70.95
Each line ends with the local moment (μB).
Atoms (fractional coordinates):
1 Cu 0.7500 0.2500 0.5000  0.01
2 Mg 0.0000 0.0000 0.0000  0.00
3 Mg 0.2500 0.7500 0.5000  0.00
4 W 0.5000 0.5000 0.0000  0.11

## Properties
Crystal system: tetragonal
Energy of formation, eV/atom: 0.602
Space group: I-4m2, No. 119
Distance to the lowest polymorph of the same formula, meV per atom: 377.7


5.
First-principles (PBE-GGA) data for a geometry-optimized LaCeLuPu structure, as listed in Alexandria via LeMat-Bulk.

a b c (Å): 5.5769 5.5769 5.5769
angles (deg): 60.00 60.00 60.00
Each line ends with the local moment (μB).
Atoms (fractional coordinates):
1 La 0.2500 0.2500 0.2500  0.28
2 Ce 0.7500 0.7500 0.7500  1.03
3 Lu 0.5000 0.5000 0.5000  0.22
4 Pu 0.0000 0.0000 0.0000  5.65

## Properties
Crystal system: cubic
Energy of formation, eV/atom: 0.189
Space group: F-43m, No. 216


6.
First-principles (PBE-GGA) data for a geometry-optimized V3Ga2Co2 structure, as listed in Alexandria via LeMat-Bulk.

a b c (Å): 4.1579 4.1581 6.4209
angles (deg): 89.99 108.90 120.01
Each line ends with the local moment (μB).
Atoms (fractional coordinates):
1 V 0.2992 0.1496 0.4487  0.17
2 V 0.7008 0.8504 0.5513  0.17
3 Ga 0.1546 0.5773 0.7320  -0.01
4 Co 0.5678 0.2839 0.8517  0.72
5 Ga 0.8454 0.4227 0.2680  -0.01
6 V 0.0000 0.0000 0.0000  0.36
7 Co 0.4322 0.7161 0.1483  0.72

## Properties
Crystal system: trigonal
Energy of formation, eV/atom: -0.186
Space group: R-3m, No. 166


Results for DOS at the Fermi energy: 4.52 0.69 0.31 1.07 2.30 0.99 (in states/eV per atom, following the order of the records).